Record 1
# CePa4S5

A relaxed CePa4S5 crystal (GGA-PBE, the Alexandria database).

abc: 8.7641 8.7641 5.5379
angles: 90.00 90.00 90.00
Space group I4/m (No. 87)
Inequivalent atoms, fractional coordinates:
Ce (0.0000, 0.0000, 0.0000) x2
Pa (0.1021, 0.2999, 0.5000) x8
S (0.0000, 0.0000, 0.5000) x2
S (0.1006, 0.3036, 0.0000) x8

Formation energy from raw total energies, eV/atom: -1.677
Mass density, g cm⁻³: 9.56
Spin magnetization, μB/atom: 0.21

---

Record 2
# Ce2Pa2S7

A relaxed Ce2Pa2S7 crystal (GGA-PBE, the Alexandria database).

abc: 4.6229 4.6229 13.1721
angles: 90.00 90.00 90.00
Space group P-4m2 (No. 115)
Inequivalent atoms, fractional coordinates:
Ce (0.0000, 0.5000, 0.1355) x2
Pa (0.0000, 0.5000, 0.6242) x2
S (0.0000, 0.0000, 0.2481) x2
S (0.0000, 0.0000, 0.5000) x1
S (0.5000, 0.5000, 0.0000) x1
S (0.5000, 0.5000, 0.2606) x2
S (0.5000, 0.5000, 0.5000) x1

Formation energy from raw total energies, eV/atom: -1.698
Mass density, g cm⁻³: 5.70
Spin magnetization, μB/atom: 0.37

---

Record 3
# CePa6S8

A relaxed CePa6S8 crystal (GGA-PBE, the Alexandria database).

abc: 8.2538 8.2538 16.5032
angles: 90.00 90.00 120.00
Space group R-3 (No. 148, hexagonal axes)
Inequivalent atoms, fractional coordinates:
Ce (0.0000, 0.0000, 0.0000) x3
Pa (0.0046, 0.3715, 0.9244) x18
S (0.0000, 0.0000, 0.3333) x6
S (0.0057, 0.2937, 0.0923) x18

Formation energy from raw total energies, eV/atom: -1.445
Mass density, g cm⁻³: 9.12
Spin magnetization, μB/atom: 0.00

---

Record 4
# Ce2ScPaS4

A relaxed Ce2ScPaS4 crystal (GGA-PBE, the Alexandria database).

abc: 6.7856 3.8678 6.7878
angles: 90.00 108.79 90.00
Space group P2/m (No. 10)
Inequivalent atoms, fractional coordinates:
Ce (0.0000, 0.0000, 0.0000) x1
Ce (0.5000, 0.5000, 0.0000) x1
Sc (0.0000, 0.5000, 0.5000) x1
Pa (0.5000, 0.0000, 0.5000) x1
S (0.2344, 0.0000, 0.7292) x2
S (0.2446, 0.5000, 0.2637) x2

Formation energy from raw total energies, eV/atom: -1.872
Mass density, g cm⁻³: 6.74
Spin magnetization, μB/atom: 0.08

---

Record 5
# CeScPa2S8

A relaxed CeScPa2S8 crystal (GGA-PBE, the Alexandria database).

abc: 6.1315 8.1977 6.3062
angles: 90.00 91.48 90.00
Space group P2/m (No. 10)
Inequivalent atoms, fractional coordinates:
Ce (0.0000, 0.0000, 0.0000) x1
Sc (0.0000, 0.5000, 0.0000) x1
Pa (0.5000, 0.2552, 0.5000) x2
S (0.2223, 0.2676, 0.1726) x4
S (0.2818, 0.5000, 0.6739) x2
S (0.2861, 0.0000, 0.6562) x2

Formation energy from raw total energies, eV/atom: -1.631
Mass density, g cm⁻³: 4.74
Spin magnetization, μB/atom: 0.09

---

Record 6
# CeSc2PaS4

A relaxed CeSc2PaS4 crystal (GGA-PBE, the Alexandria database).

abc: 6.5200 3.7559 6.7947
angles: 90.00 108.54 90.00
Space group P2/m (No. 10)
Inequivalent atoms, fractional coordinates:
Ce (0.0000, 0.0000, 0.0000) x1
Sc (0.0000, 0.5000, 0.5000) x1
Sc (0.5000, 0.0000, 0.5000) x1
Pa (0.5000, 0.5000, 0.0000) x1
S (0.2460, 0.0000, 0.7267) x2
S (0.2624, 0.5000, 0.2753) x2

Formation energy from raw total energies, eV/atom: -1.819
Mass density, g cm⁻³: 6.20
Spin magnetization, μB/atom: 0.10

---

Record 7
# CeSmPa2S4

A relaxed CeSmPa2S4 crystal (GGA-PBE, the Alexandria database).

abc: 6.7895 3.8772 6.9765
angles: 90.00 108.51 90.00
Space group P2/m (No. 10)
Inequivalent atoms, fractional coordinates:
Ce (0.0000, 0.0000, 0.0000) x1
Sm (0.5000, 0.5000, 0.0000) x1
Pa (0.0000, 0.5000, 0.5000) x1
Pa (0.5000, 0.0000, 0.5000) x1
S (0.2495, 0.0000, 0.7450) x2
S (0.2529, 0.5000, 0.2551) x2

Formation energy from raw total energies, eV/atom: -1.798
Mass density, g cm⁻³: 8.40
Spin magnetization, μB/atom: 0.08

---

Record 8
# Ce2SmPaS4

A relaxed Ce2SmPaS4 crystal (GGA-PBE, the Alexandria database).

abc: 6.8986 3.9664 6.9075
angles: 90.00 109.25 90.00
Space group P2/m (No. 10)
Inequivalent atoms, fractional coordinates:
Ce (0.0000, 0.0000, 0.0000) x1
Ce (0.0000, 0.5000, 0.5000) x1
Sm (0.5000, 0.0000, 0.5000) x1
Pa (0.5000, 0.5000, 0.0000) x1
S (0.2549, 0.5000, 0.2484) x2
S (0.2565, 0.0000, 0.7544) x2

Formation energy from raw total energies, eV/atom: -1.921
Mass density, g cm⁻³: 7.35
Spin magnetization, μB/atom: 0.15

---

Record 9
# Ce2SmPaS5

A relaxed Ce2SmPaS5 crystal (GGA-PBE, the Alexandria database).

abc: 4.9358 4.9358 10.4419
angles: 90.00 90.00 90.00
Space group P4/mmm (No. 123)
Inequivalent atoms, fractional coordinates:
Ce (0.0000, 0.0000, 0.2033) x2
Sm (0.5000, 0.5000, 0.5000) x1
Pa (0.5000, 0.5000, 0.0000) x1
S (0.0000, 0.0000, 0.5000) x1
S (0.0000, 0.5000, 0.0000) x2
S (0.5000, 0.5000, 0.2518) x2

Formation energy from raw total energies, eV/atom: -1.318
Mass density, g cm⁻³: 5.37
Spin magnetization, μB/atom: 0.46

---

Record 10
# CeSm2PaS4

A relaxed CeSm2PaS4 crystal (GGA-PBE, the Alexandria database).

abc: 6.8830 3.9624 6.9255
angles: 90.00 109.17 90.00
Space group P2/m (No. 10)
Inequivalent atoms, fractional coordinates:
Ce (0.0000, 0.0000, 0.0000) x1
Sm (0.0000, 0.5000, 0.5000) x1
Sm (0.5000, 0.0000, 0.5000) x1
Pa (0.5000, 0.5000, 0.0000) x1
S (0.2542, 0.5000, 0.2489) x2
S (0.2552, 0.0000, 0.7534) x2

Formation energy from raw total energies, eV/atom: -1.903
Mass density, g cm⁻³: 7.45
Spin magnetization, μB/atom: 0.12

---

Record 11
# Tb2CePaS4

A relaxed Tb2CePaS4 crystal (GGA-PBE, the Alexandria database).

abc: 6.7909 3.9093 6.8899
angles: 90.00 109.02 90.00
Space group P2/m (No. 10)
Inequivalent atoms, fractional coordinates:
Tb (0.0000, 0.0000, 0.0000) x1
Tb (0.5000, 0.5000, 0.0000) x1
Ce (0.0000, 0.5000, 0.5000) x1
Pa (0.5000, 0.0000, 0.5000) x1
S (0.2523, 0.5000, 0.2458) x2
S (0.2563, 0.0000, 0.7565) x2

Formation energy from raw total energies, eV/atom: -1.900
Mass density, g cm⁻³: 7.85
Spin magnetization, μB/atom: 0.11

---

Record 12
# TbCe2PaS4

A relaxed TbCe2PaS4 crystal (GGA-PBE, the Alexandria database).

abc: 6.8674 3.9369 6.8768
angles: 90.00 109.12 90.00
Space group P2/m (No. 10)
Inequivalent atoms, fractional coordinates:
Tb (0.0000, 0.0000, 0.0000) x1
Ce (0.5000, 0.0000, 0.5000) x1
Ce (0.5000, 0.5000, 0.0000) x1
Pa (0.0000, 0.5000, 0.5000) x1
S (0.2406, 0.5000, 0.2465) x2
S (0.2417, 0.0000, 0.7485) x2

Formation energy from raw total energies, eV/atom: -1.923
Mass density, g cm⁻³: 7.55
Spin magnetization, μB/atom: 0.12

---

Q: The highest spin magnetization belongs to which entry?
A: Ce2SmPaS5

---

Q: Number 5 is which compound?
A: CeScPa2S8

---

Q: What is the spin magnetization in the seventh record?
A: 0.08 μB/atom

---

Q: What is the formula in the eighth record?
A: Ce2SmPaS4